(1)
Below is a relaxed HgGe2Pd8 crystal, with properties calculated at the GGA-PBE level.

```
data_HgGe2Pd8
_chemical_formula_sum 'Hg1 Ge2 Pd8'
_cell_length_a 4.765
_cell_length_b 5.755
_cell_length_c 7.419
_cell_angle_alpha 110.01
_cell_angle_beta 105.54
_cell_angle_gamma 98.04
_space_group_name_H-M_alt 'P 1'
_space_group_IT_number 1
loop_
_space_group_symop_operation_xyz
'x,y,z'
loop_
_atom_site_label
_atom_site_fract_x
_atom_site_fract_y
_atom_site_fract_z
Hg1 0.000 0.000 0.000
Ge1 0.369 0.320 0.682
Ge2 0.691 0.637 0.319
Pd1 0.189 0.917 0.354
Pd2 0.229 0.455 0.390
Pd3 0.361 0.653 0.001
Pd4 0.390 0.921 0.756
Pd5 0.635 0.165 0.245
Pd6 0.827 0.432 0.000
Pd7 0.836 0.561 0.646
Pd8 0.837 0.063 0.610
```

E above lowest polymorph ... 0 meV/atom

---

(2)
Below is a relaxed Hg2GePd2 crystal, with properties calculated at the GGA-PBE level.

```
data_Hg2GePd2
_chemical_formula_sum 'Hg2 Ge1 Pd2'
_cell_length_a 4.751
_cell_length_b 4.751
_cell_length_c 5.129
_cell_angle_alpha 90.00
_cell_angle_beta 90.00
_cell_angle_gamma 90.00
_space_group_name_H-M_alt 'P 4/m m m'
_space_group_IT_number 123
_space_group_name_Hall '-P 4 2'
loop_
_atom_site_label
_atom_site_fract_x
_atom_site_fract_y
_atom_site_fract_z
Hg1 0.000 0.000 0.000
Hg2 0.500 0.500 0.000
Ge1 0.000 0.000 0.500
Pd1 0.000 0.500 0.500
```

E above lowest polymorph ... 386 meV/atom

---

(3)
Below is a relaxed HgGe2Pd8 crystal, with properties calculated at the GGA-PBE level.

```
data_HgGe2Pd8
_chemical_formula_sum 'Hg2 Ge4 Pd16'
_cell_length_a 7.440
_cell_length_b 11.153
_cell_length_c 4.598
_cell_angle_alpha 90.00
_cell_angle_beta 107.58
_cell_angle_gamma 90.00
_space_group_name_H-M_alt 'C 1 2/m 1'
_space_group_IT_number 12
loop_
_space_group_symop_operation_xyz
'x,y,z'
'-x,-y,-z'
'-x,y,-z'
'x,-y,z'
'x+1/2,y+1/2,z'
'-x+1/2,-y+1/2,-z'
'-x+1/2,y+1/2,-z'
'x+1/2,-y+1/2,z'
loop_
_atom_site_label
_atom_site_fract_x
_atom_site_fract_y
_atom_site_fract_z
Hg1 0.000 0.000 0.000
Ge1 0.000 0.318 0.500
Pd1 0.000 0.244 0.000
Pd2 0.111 0.500 0.816
Pd3 0.199 0.125 0.596
```

E above lowest polymorph ... 5 meV/atom

---

(4)
Below is a relaxed Hg2GePd2 crystal, with properties calculated at the GGA-PBE level.

```
data_Hg2GePd2
_chemical_formula_sum 'Hg4 Ge2 Pd4'
_cell_length_a 8.011
_cell_length_b 8.011
_cell_length_c 3.055
_cell_angle_alpha 90.00
_cell_angle_beta 90.00
_cell_angle_gamma 90.00
_space_group_name_H-M_alt 'P 4/m b m'
_space_group_IT_number 127
_space_group_name_Hall '-P 4 2ab'
loop_
_atom_site_label
_atom_site_fract_x
_atom_site_fract_y
_atom_site_fract_z
Hg1 0.161 0.339 0.000
Ge1 0.000 0.000 0.000
Pd1 0.135 0.635 0.500
```

E above lowest polymorph ... 165 meV/atom

---

(5)
Below is a relaxed HgGe6Pd12 crystal, with properties calculated at the GGA-PBE level.

```
data_HgGe6Pd12
_chemical_formula_sum 'Hg3 Ge18 Pd36'
_cell_length_a 11.7784
_cell_length_b 11.7784
_cell_length_c 8.1579
_cell_angle_alpha 90.00
_cell_angle_beta 90.00
_cell_angle_gamma 120.00
_space_group_name_H-M_alt 'R -3 m'
_space_group_IT_number 166
_space_group_name_Hall '-R 3 2"'
loop_
_atom_site_label
_atom_site_fract_x
_atom_site_fract_y
_atom_site_fract_z
Hg1 0.0000 0.0000 0.0000
Ge1 0.0452 0.5226 0.2589
Pd1 0.0000 0.3751 0.5000
Pd2 0.0826 0.1651 0.3278
```

---

(6)
Below is a relaxed HgGe2Pd2 crystal, with properties calculated at the GGA-PBE level.

```
data_HgGe2Pd2
_chemical_formula_sum 'Hg2 Ge4 Pd4'
_cell_length_a 3.828
_cell_length_b 3.828
_cell_length_c 12.618
_cell_angle_alpha 90.00
_cell_angle_beta 90.00
_cell_angle_gamma 90.00
_space_group_name_H-M_alt 'I 4/m m m'
_space_group_IT_number 139
_space_group_name_Hall '-I 4 2'
loop_
_atom_site_label
_atom_site_fract_x
_atom_site_fract_y
_atom_site_fract_z
Hg1 0.000 0.000 0.000
Ge1 0.000 0.500 0.250
Pd1 0.000 0.000 0.388
```

E above lowest polymorph ... 61 meV/atom

---

(7)
Below is a relaxed Hg2GePd6 crystal, with properties calculated at the GGA-PBE level.

```
data_Hg2GePd6
_chemical_formula_sum 'Hg4 Ge2 Pd12'
_cell_length_a 3.041
_cell_length_b 13.019
_cell_length_c 7.637
_cell_angle_alpha 90.00
_cell_angle_beta 90.00
_cell_angle_gamma 90.00
_space_group_name_H-M_alt 'A m m 2'
_space_group_IT_number 38
loop_
_space_group_symop_operation_xyz
'x,y,z'
'-x,-y,z'
'-x,y,z'
'x,-y,z'
'x,y+1/2,z+1/2'
'-x,-y+1/2,z+1/2'
'-x,y+1/2,z+1/2'
'x,-y+1/2,z+1/2'
loop_
_atom_site_label
_atom_site_fract_x
_atom_site_fract_y
_atom_site_fract_z
Hg1 0.000 0.172 0.000
Ge1 0.500 0.000 0.517
Pd1 0.000 0.000 0.780
Pd2 0.000 0.125 0.364
Pd3 0.500 0.000 0.123
Pd4 0.500 0.180 0.683
```

---

(8)
Below is a relaxed HgGePd3 crystal, with properties calculated at the GGA-PBE level.

```
data_HgGePd3
_chemical_formula_sum 'Hg1 Ge1 Pd3'
_cell_length_a 4.650
_cell_length_b 4.650
_cell_length_c 4.650
_cell_angle_alpha 90.00
_cell_angle_beta 90.00
_cell_angle_gamma 90.00
_space_group_name_H-M_alt 'P m -3 m'
_space_group_IT_number 221
_space_group_name_Hall '-P 4 2 3'
loop_
_atom_site_label
_atom_site_fract_x
_atom_site_fract_y
_atom_site_fract_z
Hg1 0.000 0.000 0.000
Ge1 0.500 0.500 0.500
Pd1 0.000 0.500 0.500
```

E above lowest polymorph ... 359 meV/atom

---

(9)
Below is a relaxed HgGePd4 crystal, with properties calculated at the GGA-PBE level.

```
data_HgGePd4
_chemical_formula_sum 'Hg2 Ge2 Pd8'
_cell_length_a 5.580
_cell_length_b 7.693
_cell_length_c 5.048
_cell_angle_alpha 90.00
_cell_angle_beta 113.11
_cell_angle_gamma 90.00
_space_group_name_H-M_alt 'P 1 21/c 1'
_space_group_IT_number 14
loop_
_space_group_symop_operation_xyz
'x,y,z'
'-x,-y,-z'
'-x,y+1/2,-z+1/2'
'x,-y+1/2,z+1/2'
loop_
_atom_site_label
_atom_site_fract_x
_atom_site_fract_y
_atom_site_fract_z
Hg1 0.000 0.000 0.000
Ge1 0.500 0.000 0.500
Pd1 0.141 0.153 0.572
Pd2 0.393 0.669 0.373
```

E above lowest polymorph ... 79 meV/atom

---

(10)
Below is a relaxed Hg2Ge2Pd crystal, with properties calculated at the GGA-PBE level.

```
data_Hg2Ge2Pd
_chemical_formula_sum 'Hg4 Ge4 Pd2'
_cell_length_a 7.343
_cell_length_b 7.343
_cell_length_c 3.939
_cell_angle_alpha 90.00
_cell_angle_beta 90.00
_cell_angle_gamma 90.00
_space_group_name_H-M_alt 'P 4/m b m'
_space_group_IT_number 127
_space_group_name_Hall '-P 4 2ab'
loop_
_atom_site_label
_atom_site_fract_x
_atom_site_fract_y
_atom_site_fract_z
Hg1 0.150 0.350 0.000
Ge1 0.156 0.656 0.500
Pd1 0.000 0.000 0.000
```

E above lowest polymorph ... 241 meV/atom

---

(11)
Below is a relaxed Hg2Ge2Pd crystal, with properties calculated at the GGA-PBE level.

```
data_Hg2Ge2Pd
_chemical_formula_sum 'Hg4 Ge4 Pd2'
_cell_length_a 6.560
_cell_length_b 6.560
_cell_length_c 4.882
_cell_angle_alpha 90.00
_cell_angle_beta 90.00
_cell_angle_gamma 90.00
_space_group_name_H-M_alt 'P 4/m b m'
_space_group_IT_number 127
_space_group_name_Hall '-P 4 2ab'
loop_
_atom_site_label
_atom_site_fract_x
_atom_site_fract_y
_atom_site_fract_z
Hg1 0.197 0.303 0.000
Ge1 0.141 0.641 0.500
Pd1 0.000 0.000 0.500
```

E above lowest polymorph ... 0 meV/atom

---

(12)
Below is a relaxed HgGe2Pd2 crystal, with properties calculated at the GGA-PBE level.

```
data_HgGe2Pd2
_chemical_formula_sum 'Hg2 Ge4 Pd4'
_cell_length_a 4.428
_cell_length_b 4.428
_cell_length_c 9.754
_cell_angle_alpha 90.00
_cell_angle_beta 90.00
_cell_angle_gamma 90.00
_space_group_name_H-M_alt 'I 4/m m m'
_space_group_IT_number 139
_space_group_name_Hall '-I 4 2'
loop_
_atom_site_label
_atom_site_fract_x
_atom_site_fract_y
_atom_site_fract_z
Hg1 0.000 0.000 0.000
Ge1 0.000 0.000 0.374
Pd1 0.000 0.500 0.250
```

E above lowest polymorph ... 22 meV/atom

---

no.,total magnetic moment (μB per cell),formation enthalpy at 0 K (eV per atom),calculated density (g/cm³)
1,0.0,-0.3137,11.16
2,0.0,0.2698,9.85
3,0.0,-0.3091,10.93
4,0.0,0.0494,11.63
5,0.0,-0.3643,9.73
6,0.0,-0.1221,10.04
7,0.0,-0.2388,12.22
8,0.0,0.1151,9.78
9,0.0,-0.2361,11.64
10,0.0,0.2863,10.21
11,0.0,0.0448,10.32
12,0.0,-0.1614,9.70